The following is a PBE-GGA calculation of a geometry-optimized Ti6TcMo5 structure, from Alexandria.

Cell and atoms, written as POSCAR:
```
Ti6TcMo5
1.0
4.4495 0.0000 0.0000
0.0000 6.3402 0.0000
-2.2359 0.0000 6.6723
Ti Tc Mo
6 1 5
Direct
0.0000 0.2454 0.0000 Ti
0.0000 0.7546 0.0000 Ti
0.3362 0.2489 0.6720 Ti
0.3362 0.7511 0.6720 Ti
0.6639 0.2489 0.3280 Ti
0.6639 0.7511 0.3280 Ti
0.5000 0.0000 0.0000 Tc
0.1668 0.5000 0.3340 Mo
0.1698 0.0000 0.3395 Mo
0.5000 0.5000 0.0000 Mo
0.8302 0.0000 0.6605 Mo
0.8332 0.5000 0.6660 Mo
```

E_form in eV/atom: -0.122
SG: P2/m (10)
M_tot in μB/f.u.: 0.0
Density of states at the Fermi level in states/eV/cell: 21.50

---

The following is a PBE-GGA calculation of a geometry-optimized GaFeTeI2 structure, from Alexandria.

Cell and atoms, written as POSCAR:
```
GaFeTeI2
1.0
5.3904 0.0000 0.0000
0.0000 5.3904 0.0000
0.0000 0.0000 5.0574
Ga Fe Te I
1 1 1 2
Direct
0.0000 0.0000 0.0000 Ga
0.5000 0.5000 0.5000 Fe
0.5000 0.5000 0.0000 Te
0.0000 0.5000 0.5000 I
0.5000 0.0000 0.5000 I
```

SG: P4/mmm (123)
Raw formation energy in kcal/mol of atoms: 4.4
Energy above the lowest structure with this stoichiometry in meV/atom: 0.0
M_tot in μB/f.u.: 3.4
Density of states at the Fermi level in states/eV/cell: 6.22

---

The following is a PBE-GGA calculation of a geometry-optimized OsRhS4 structure, from Alexandria.

Cell and atoms, written as POSCAR:
```
OsRhS4
1.0
5.6968 0.0000 0.0000
0.0000 5.7100 0.0000
-0.0276 0.0000 5.7056
Os Rh S
2 2 8
Direct
0.0000 0.0000 0.0000 Os
0.0000 0.5000 0.5000 Os
0.5000 0.0000 0.5000 Rh
0.5000 0.5000 0.0000 Rh
0.1136 0.1224 0.6230 S
0.1136 0.3776 0.1230 S
0.3767 0.6162 0.6137 S
0.3767 0.8838 0.1137 S
0.6233 0.1162 0.8863 S
0.6233 0.3838 0.3863 S
0.8864 0.6224 0.8770 S
0.8864 0.8776 0.3770 S
```

SG: P2_1/c (14)
Raw formation energy in kcal/mol of atoms: -8.5
M_tot in μB/f.u.: 0.0
Density of states at the Fermi level in states/eV/cell: 6.89

---

The following is a PBE-GGA calculation of a geometry-optimized Li2NbAlRh structure, from Alexandria.

Cell and atoms, written as POSCAR:
```
Li2NbAlRh
1.0
4.4220 0.0000 0.0000
0.0000 4.4220 0.0000
0.0000 0.0000 4.8420
Li Nb Al Rh
2 1 1 1
Direct
0.0000 0.5000 0.0000 Li
0.5000 0.0000 0.0000 Li
0.0000 0.0000 0.5000 Nb
0.5000 0.5000 0.5000 Al
0.0000 0.0000 0.0000 Rh
```

E_form in eV/atom: 0.453
SG: P4/mmm (123)
M_tot in μB/f.u.: 0.0
Density of states at the Fermi level in states/eV/cell: 2.92

---

The following is a PBE-GGA calculation of a geometry-optimized HfNbGe structure, from Alexandria.

Cell and atoms, written as POSCAR:
```
HfNbGe
1.0
3.5267 0.0000 0.0000
-0.0217 5.4883 0.0000
-1.7509 -2.6745 5.8509
Hf Nb Ge
2 2 2
Direct
0.0000 0.0000 0.0000 Hf
0.2993 0.0487 0.6027 Hf
0.3068 0.5721 0.6095 Nb
0.6105 0.6306 0.2229 Nb
0.6704 0.1966 0.3404 Ge
0.9425 0.4482 0.8856 Ge
```

E_form in eV/atom: -0.369
SG: P1 (1)
M_tot in μB/f.u.: 0.0
Density of states at the Fermi level in states/eV/cell: 5.42

---

The following is a PBE-GGA calculation of a geometry-optimized Dy6C2Se3O structure, from Alexandria.

Cell and atoms, written as POSCAR:
```
Dy6C2Se3O
1.0
8.4681 -1.8678 0.0000
8.4681 1.8678 0.0000
-2.2816 0.0000 7.4736
Dy C Se O
6 2 3 1
Direct
0.0140 0.0140 0.2306 Dy
0.3233 0.3233 0.4439 Dy
0.3398 0.3398 0.8868 Dy
0.6602 0.6602 0.1132 Dy
0.6767 0.6767 0.5561 Dy
0.9860 0.9860 0.7694 Dy
0.1636 0.1636 0.3265 C
0.8364 0.8364 0.6735 C
0.1646 0.1646 0.8326 Se
0.5000 0.5000 0.5000 Se
0.8354 0.8354 0.1674 Se
0.5000 0.5000 0.0000 O
```

SG: C2/m (12)
Raw formation energy in kcal/mol of atoms: -35.7
M_tot in μB/f.u.: 0.0
Density of states at the Fermi level in states/eV/cell: 4.25

---

The following is a PBE-GGA calculation of a geometry-optimized In2FeSi structure, from Alexandria.

Cell and atoms, written as POSCAR:
```
In2FeSi
1.0
3.8435 0.0000 0.0000
0.0000 1.9515 4.9277
0.0000 -1.9515 4.9277
In Fe Si
2 1 1
Direct
0.0000 0.0000 0.0000 In
0.5000 0.3068 0.3068 In
0.5000 0.5891 0.5891 Fe
0.0000 0.7142 0.7142 Si
```

SG: Amm2 (38)
Raw formation energy in kcal/mol of atoms: 3.8
M_tot in μB/f.u.: 1.4
Density of states at the Fermi level in states/eV/cell: 2.76

---

The following is a PBE-GGA calculation of a geometry-optimized GaAg3Au structure, from Alexandria.

Cell and atoms, written as POSCAR:
```
GaAg3Au
1.0
4.9979 0.0000 0.0000
2.3314 5.0278 0.0000
2.4032 1.8900 4.6716
Ga Ag Au
1 3 1
Direct
0.0000 0.0000 0.0000 Ga
0.0000 0.5000 0.5000 Ag
0.5000 0.0000 0.5000 Ag
0.5000 0.5000 0.0000 Ag
0.5000 0.0000 0.0000 Au
```

E_form in eV/atom: 0.189
SG: P-1 (2)
Energy above the lowest structure with this stoichiometry in meV/atom: 90.0
M_tot in μB/f.u.: 0.0
Density of states at the Fermi level in states/eV/cell: 1.57